{"formula": "LiSiTc2", "functional": "PBE-GGA", "state": "relaxed", "density_g_cm3": 7.33, "sg": "F-43m", "energy_ev_per_atom": -7.29, "lattice_angstrom": [[0.000, 2.969, 2.969], [2.969, 0.000, 2.969], [2.969, 2.969, 0.000]], "species": ["Li", "Si", "Tc", "Tc"], "frac_coords": [[0.000, 0.000, 0.000], [0.750, 0.750, 0.750], [0.250, 0.250, 0.250], [0.500, 0.500, 0.500]]}